# 1
Here is crystalline PmSmP2O8 at its relaxed geometry from Alexandria via LeMat-Bulk. Energies are from PBE.

Cell lengths 5.300, 5.300, 7.230 Å; angles 90.00, 90.00, 120.00 degrees
Sites, in units of the cell vectors:
Pm  0.000  0.000  0.000
Sm  0.000  0.000  0.500
P  0.667  0.333  0.195
P  0.333  0.667  0.805
O  0.333  0.667  0.016
O  0.348  0.175  0.270
O  0.825  0.174  0.270
O  0.667  0.333  0.984
O  0.175  0.826  0.730
O  0.652  0.825  0.730
O  0.174  0.348  0.730
O  0.826  0.652  0.270

Symmetry: P-3m1 (164)
Crystal system: trigonal
V, Å³/f.u.: 175.9

# 2
Here is crystalline PmSnP2O8 at its relaxed geometry from Alexandria via LeMat-Bulk. Energies are from PBE.

Cell lengths 5.448, 5.448, 6.529 Å; angles 65.34, 65.34, 60.00 degrees
Sites, in units of the cell vectors:
Pm  0.000  0.000  0.000
Sn  0.500  0.500  0.500
P  0.224  0.224  0.328
P  0.776  0.776  0.672
O  0.135  0.135  0.596
O  0.415  0.407  0.231
O  0.865  0.865  0.404
O  0.947  0.415  0.231
O  0.053  0.585  0.769
O  0.407  0.947  0.231
O  0.593  0.053  0.769
O  0.585  0.593  0.769

Symmetry: R-3 (148)
Crystal system: trigonal
V, Å³/f.u.: 147.0

# 3
Here is crystalline Sr2PmPO8 at its relaxed geometry from Alexandria via LeMat-Bulk. Energies are from PBE.

Cell lengths 5.465, 5.465, 6.276 Å; angles 90.00, 90.00, 120.00 degrees
Site moments in Bohr magnetons follow the coordinates.
Sites, in units of the cell vectors:
Sr  0.667  0.333  0.127  0.03
Sr  0.333  0.667  0.873  0.03
Pm  0.000  0.000  0.500  -0.04
P  0.000  0.000  0.000  -0.01
O  0.855  0.711  0.837  0.26
O  0.289  0.145  0.837  0.26
O  0.855  0.145  0.837  0.26
O  0.145  0.289  0.163  0.26
O  0.711  0.855  0.163  0.26
O  0.145  0.855  0.163  0.26
O  0.667  0.333  0.496  0.92
O  0.333  0.667  0.504  0.92

Symmetry: P-3m1 (164)
Crystal system: trigonal
V, Å³/f.u.: 162.3

# 4
Here is crystalline SrPmPO5 at its relaxed geometry from Alexandria via LeMat-Bulk. Energies are from PBE.

Cell lengths 5.978, 5.978, 7.885 Å; angles 102.47, 102.47, 106.55 degrees
Sites, in units of the cell vectors:
Sr  0.339  0.661  0.250
Sr  0.661  0.339  0.750
Pm  0.000  0.000  0.500
Pm  0.000  0.000  0.000
P  0.680  0.320  0.250
P  0.320  0.680  0.750
O  0.101  0.899  0.250
O  0.899  0.101  0.750
O  0.882  0.331  0.151
O  0.118  0.669  0.849
O  0.669  0.118  0.349
O  0.331  0.882  0.651
O  0.733  0.569  0.394
O  0.267  0.431  0.606
O  0.431  0.267  0.106
O  0.569  0.733  0.894

Symmetry: C2/c (15)
Crystal system: monoclinic
V, Å³/f.u.: 125.9

# 5
Here is crystalline SrPm2PO8 at its relaxed geometry from Alexandria via LeMat-Bulk. Energies are from PBE.

Cell lengths 5.148, 5.148, 7.035 Å; angles 90.00, 90.00, 120.00 degrees
Site moments in Bohr magnetons follow the coordinates.
Sites, in units of the cell vectors:
Sr  0.000  0.000  0.500  -0.01
Pm  0.667  0.333  0.139  -0.02
Pm  0.333  0.667  0.861  -0.02
P  0.000  0.000  0.000  -0.01
O  0.845  0.690  0.859  0.20
O  0.310  0.155  0.859  0.20
O  0.845  0.155  0.859  0.20
O  0.155  0.310  0.141  0.20
O  0.690  0.845  0.141  0.20
O  0.155  0.845  0.141  0.20
O  0.667  0.333  0.458  0.69
O  0.333  0.667  0.542  0.69

Symmetry: P-3m1 (164)
Crystal system: trigonal
V, Å³/f.u.: 161.5

# 6
Here is crystalline TbPmP2O8 at its relaxed geometry from Alexandria via LeMat-Bulk. Energies are from PBE.

Cell lengths 5.275, 5.275, 7.135 Å; angles 90.00, 90.00, 120.00 degrees
Sites, in units of the cell vectors:
Tb  0.000  0.000  0.500
Pm  0.000  0.000  0.000
P  0.667  0.333  0.200
P  0.333  0.667  0.800
O  0.333  0.667  0.014
O  0.347  0.174  0.275
O  0.826  0.173  0.275
O  0.667  0.333  0.986
O  0.174  0.827  0.725
O  0.653  0.826  0.725
O  0.173  0.347  0.725
O  0.827  0.653  0.275

Symmetry: P-3m1 (164)
Crystal system: trigonal
V, Å³/f.u.: 171.9

# 7
Here is crystalline Tb2PmPO8 at its relaxed geometry from Alexandria via LeMat-Bulk. Energies are from PBE.

Cell lengths 5.072, 5.072, 6.473 Å; angles 90.00, 90.00, 120.00 degrees
Site moments in Bohr magnetons follow the coordinates.
Sites, in units of the cell vectors:
Tb  0.667  0.333  0.131  0.02
Tb  0.333  0.667  0.869  0.02
Pm  0.000  0.000  0.500  -0.02
P  0.000  0.000  0.000  -0.01
O  0.844  0.688  0.845  0.10
O  0.312  0.156  0.845  0.10
O  0.844  0.156  0.845  0.10
O  0.156  0.312  0.155  0.10
O  0.688  0.844  0.155  0.10
O  0.156  0.844  0.155  0.10
O  0.667  0.333  0.463  0.55
O  0.333  0.667  0.537  0.55

Symmetry: P-3m1 (164)
Crystal system: trigonal
V, Å³/f.u.: 144.2

# 8
Here is crystalline PmTcPO at its relaxed geometry from Alexandria via LeMat-Bulk. Energies are from PBE.

Cell lengths 4.039, 4.039, 8.339 Å; angles 90.00, 90.00, 90.00 degrees
Sites, in units of the cell vectors:
Pm  0.000  0.500  0.862
Pm  0.500  0.000  0.138
Tc  0.000  0.000  0.500
Tc  0.500  0.500  0.500
P  0.500  0.000  0.649
P  0.000  0.500  0.351
O  0.500  0.500  0.000
O  0.000  0.000  0.000

Symmetry: P4/nmm (129)
Crystal system: tetragonal
V, Å³/f.u.: 68.0

It is found that the formation energy from raw total energies values, taken in the order of the records, are -2.864, -2.255, -1.866, -2.904, -2.238, -2.891, -2.465, -1.888 eV per atom.
It is found that the magnetic moment values, taken in the order of the records, are 0.0, 0.0, 4.0, 0.0, 3.0, 0.0, 2.0, 0.0 μB per formula unit.
It is found that the DFT total energy values, taken in the order of the records, are -7.86, -7.19, -6.30, -7.48, -6.93, -7.88, -7.39, -8.26 eV/atom.